Entry from Alexandria: a geometry-optimized PrSm5In2 structure (PBE-GGA).

## Properties
Energy above the lowest structure with this stoichiometry = 123.5 meV/atom
DFT total energy = -4.380 eV per atom

a = 5.3870 Å, b = 12.1537 Å, c = 15.8014 Å
α = 90.00°, β = 90.00°, γ = 90.00°
Last column: nearest neighbours and their distance in Å.
Space group Cmcm (No. 63)
Symmetry-distinct sites (fractional):
1 Pr 0.0000 0.2362 0.2500 (multiplicity 4)  4 In 3.20, 3 Sm 3.40-3.55
2 Sm 0.0000 0.0438 0.7500 (multiplicity 4)  2 In 3.35, 1 Pr 3.40, 4 Sm 3.53
3 Sm 0.0000 0.1409 0.0280 (multiplicity 8)  3 In 3.16-3.37, 1 Sm 3.54
4 Sm 0.0000 0.4596 0.1054 (multiplicity 8)  1 In 3.21, 3 Sm 3.47-3.53, 1 Pr 3.55
5 In 0.0000 0.2801 0.6413 (multiplicity 8)  5 Sm 3.16-3.37, 2 Pr 3.20, 1 In 3.44